Model 1:
Density functional theory data (PBE-GGA) for a geometry-optimized MoOsRu2 structure.

a = 4.750 Å, b = 4.750 Å, c = 4.732 Å
α = 99.59°, β = 99.59°, γ = 33.55°
Sites, in units of the cell vectors:
Mo 0.000 0.000 0.000
Os 0.500 0.500 0.500
Ru 0.247 0.247 0.743
Ru 0.753 0.753 0.257



Model 2:
Density functional theory data (PBE-GGA) for a geometry-optimized MoOsRu2 structure.

a = 4.787 Å, b = 4.366 Å, c = 11.072 Å
α = 90.00°, β = 90.00°, γ = 90.00°
Sites, in units of the cell vectors:
Mo 0.083 0.250 0.185
Mo 0.417 0.750 0.685
Mo 0.583 0.250 0.315
Mo 0.917 0.750 0.815
Os 0.084 0.250 0.441
Os 0.416 0.750 0.941
Os 0.584 0.250 0.059
Os 0.916 0.750 0.559
Ru 0.081 0.250 0.686
Ru 0.089 0.250 0.937
Ru 0.411 0.750 0.437
Ru 0.419 0.750 0.186
Ru 0.581 0.250 0.814
Ru 0.589 0.250 0.563
Ru 0.911 0.750 0.063
Ru 0.919 0.750 0.314



On energetic grounds, model 2 is preferred over the next structure by 9.1 kJ/mol of atoms.